A plane-wave DFT calculation with PBE was carried out for crystalline KCuBiI5 at its relaxed geometry.

a = 8.364 Å, b = 8.364 Å, c = 11.304 Å
α = 103.95°, β = 103.95°, γ = 106.39°
Element x y z (fractional)
K 0.134 0.866 0.750
K 0.866 0.134 0.250
Cu 0.194 0.806 0.250
Cu 0.806 0.194 0.750
Bi 0.500 0.500 0.000
Bi 0.500 0.500 0.500
I 0.105 0.258 0.935
I 0.169 0.583 0.376
I 0.258 0.105 0.435
I 0.404 0.596 0.750
I 0.417 0.831 0.124
I 0.583 0.169 0.876
I 0.596 0.404 0.250
I 0.742 0.895 0.565
I 0.831 0.417 0.624
I 0.895 0.742 0.065

Computed properties:
Raw formation energy (meV per atom): -613

***

A plane-wave DFT calculation with PBE was carried out for crystalline AlCrAu at its relaxed geometry.

a = 3.099 Å, b = 6.618 Å, c = 9.399 Å
α = 90.00°, β = 90.00°, γ = 90.00°
Element x y z (fractional)
Al 0.000 0.048 0.000
Al 0.000 0.293 0.359
Al 0.500 0.707 0.859
Al 0.500 0.952 0.500
Cr 0.000 0.617 0.604
Cr 0.000 0.659 0.107
Cr 0.500 0.341 0.607
Cr 0.500 0.383 0.104
Au 0.000 0.387 0.857
Au 0.000 0.996 0.724
Au 0.500 0.004 0.224
Au 0.500 0.613 0.357

Computed properties:
ΔH_f (0 K) (eV/atom): -0.051

***

A plane-wave DFT calculation with PBE was carried out for crystalline La2ThGe3Ir4 at its relaxed geometry.

a = 4.323 Å, b = 4.323 Å, c = 11.218 Å
α = 90.00°, β = 90.00°, γ = 90.00°
Element x y z (fractional)
La 0.000 0.500 0.224
La 0.500 0.000 0.776
Th 0.000 0.000 0.500
Ge 0.000 0.500 0.880
Ge 0.500 0.000 0.120
Ge 0.500 0.500 0.500
Ir 0.000 0.000 0.000
Ir 0.000 0.500 0.658
Ir 0.500 0.000 0.342
Ir 0.500 0.500 0.000

Computed properties:
ΔH_f (0 K) (eV/atom): -0.790

***

A plane-wave DFT calculation with PBE was carried out for crystalline Rb2TcGeSe at its relaxed geometry.

a = 6.485 Å, b = 6.485 Å, c = 4.741 Å
α = 90.00°, β = 90.00°, γ = 90.00°
Element x y z (fractional)
Rb 0.000 0.500 0.000
Rb 0.500 0.000 0.000
Tc 0.000 0.000 0.000
Ge 0.000 0.000 0.500
Se 0.500 0.500 0.500

Computed properties:
Raw formation energy (meV per atom): 567

***

A plane-wave DFT calculation with PBE was carried out for crystalline Ba2NaN at its relaxed geometry.

a = 10.864 Å, b = 10.864 Å, c = 10.864 Å
α = 21.32°, β = 21.32°, γ = 21.32°
Element x y z (fractional)
Ba 0.214 0.214 0.214
Ba 0.786 0.786 0.786
Na 0.000 0.000 0.000
N 0.500 0.500 0.500

Computed properties:
Raw formation energy (meV per atom): -294

***

A plane-wave DFT calculation with PBE was carried out for crystalline AcAgAs at its relaxed geometry.

a = 4.547 Å, b = 4.547 Å, c = 4.405 Å
α = 90.00°, β = 90.00°, γ = 120.00°
Element x y z (fractional)
Ac 0.000 0.000 0.000
Ag 0.667 0.333 0.500
As 0.333 0.667 0.500

Computed properties:
ΔH_f (0 K) (eV/atom): -0.772
Offset from the most stable computed form (kJ per mole of atoms): 0.0